DFT (PBE) results for Ba2Se2Br after structural relaxation.

The structure in extended XYZ format:
```
10
Lattice="-6.310 -0.316 6.246 6.180 -1.676 6.158 0.478 4.349 0.703" Properties=species:S:1:pos:R:3 pbc="T T T"
Se 3.314 1.103 4.887
Se 1.798 0.500 9.643
Se -2.965 1.254 8.221
Se -1.449 1.857 3.465
Ba 3.048 -1.488 7.131
Ba -1.054 -1.390 9.310
Ba -3.177 -0.504 5.274
Ba 0.925 -0.602 3.094
Br 0.000 0.000 0.000
Br -0.065 -0.996 6.202
```

## Properties
The total moment comes out at 0.200 μB/atom. As for the space group: P4/mbm, No. 127. The energy comes out at -4.244 eV/atom. The calculation puts the uncorrected formation energy at -1.746 eV/atom.